A plane-wave DFT calculation with PBE was carried out for crystalline Fe2CoIr2 at its relaxed geometry.

abc: 6.9052 6.9052 6.9052
angles: 153.20 153.20 38.26
Closest atoms and distances in Å follow each position.
Fractional coordinates of all 5 atoms:
Fe1 0.7500 0.2500 0.5000  4 Fe 2.26, 4 Ir 2.52
Fe2 0.2500 0.7500 0.5000  4 Fe 2.26, 4 Ir 2.52
Ir1 0.3994 0.3994 0.0000  4 Fe 2.52, 4 Co 2.62, 1 Ir 2.63
Ir2 0.6006 0.6006 0.0000  4 Fe 2.52, 4 Co 2.62, 1 Ir 2.63
Co1 0.0000 0.0000 0.0000  8 Ir 2.62

Properties
- Spin magnetization: 1.07 Bohr magnetons per cell
- Symmetry: No. 139
- Formation enthalpy at 0 K: 0.4141 eV per atom
- Mass density: 13.792 g/cm³
- Polymorph energy (0 for the lowest one): 39.2 kJ/mol of atoms


A plane-wave DFT calculation with PBE was carried out for crystalline FeCo3Ir at its relaxed geometry.

abc: 4.1601 4.1601 4.1601
angles: 90.00 90.00 90.00
Closest atoms and distances in Å follow each position.
Fractional coordinates of all 5 atoms:
Fe1 0.0000 0.0000 0.0000  6 Co 2.08
Ir1 0.5000 0.5000 0.5000  12 Co 2.94
Co1 0.0000 0.0000 0.5000  2 Fe 2.08
Co2 0.0000 0.5000 0.0000  2 Fe 2.08
Co3 0.5000 0.0000 0.0000  2 Fe 2.08

Properties
- Spin magnetization: 8.06 Bohr magnetons per cell
- Symmetry: No. 221
- Formation enthalpy at 0 K: 1.2693 eV per atom
- Mass density: 9.799 g/cm³
- Polymorph energy (0 for the lowest one): 119.2 kJ/mol of atoms


A plane-wave DFT calculation with PBE was carried out for crystalline FeCoIr6 at its relaxed geometry.

abc: 3.8090 3.8090 7.6207
angles: 90.00 90.00 90.00
Closest atoms and distances in Å follow each position.
Fractional coordinates of all 8 atoms:
Ir1 0.5000 0.0000 0.2500  8 Ir 2.69, 2 Fe 2.69, 2 Co 2.69
Ir2 0.0000 0.5000 0.7500  8 Ir 2.69, 2 Fe 2.69, 2 Co 2.69
Ir3 0.5000 0.5000 0.0000  4 Fe 2.69, 8 Ir 2.69
Ir4 0.5000 0.5000 0.5000  4 Co 2.69, 8 Ir 2.69
Ir5 0.5000 0.0000 0.7500  8 Ir 2.69, 2 Fe 2.69, 2 Co 2.69
Ir6 0.0000 0.5000 0.2500  8 Ir 2.69, 2 Fe 2.69, 2 Co 2.69
Co1 0.0000 0.0000 0.5000  12 Ir 2.69
Fe1 0.0000 0.0000 0.0000  12 Ir 2.69

Properties
- Spin magnetization: 0.42 Bohr magnetons per cell
- Symmetry: No. 123
- Formation enthalpy at 0 K: -0.0117 eV per atom
- Mass density: 19.045 g/cm³


A plane-wave DFT calculation with PBE was carried out for crystalline FeCoIr at its relaxed geometry.

abc: 6.6361 6.4154 2.6218
angles: 83.18 73.72 23.10
Closest atoms and distances in Å follow each position.
Fractional coordinates of all 3 atoms:
Ir1 0.6678 0.6678 0.3322  2 Fe 2.57, 2 Co 2.61, 6 Ir 2.62-2.83
Fe1 0.3397 0.3397 0.6603  2 Co 2.38, 2 Ir 2.57, 4 Fe 2.62
Co1 0.9926 0.9926 0.0074  2 Fe 2.38, 2 Ir 2.61, 4 Co 2.62

Properties
- Spin magnetization: 5.23 Bohr magnetons per cell
- Symmetry: No. 42
- Formation enthalpy at 0 K: 0.1392 eV per atom
- Mass density: 13.052 g/cm³
- Polymorph energy (0 for the lowest one): 13.9 kJ/mol of atoms


A plane-wave DFT calculation with PBE was carried out for crystalline Fe6Co2Ir at its relaxed geometry.

abc: 2.5355 7.2919 7.2919
angles: 57.67 69.70 69.70
Closest atoms and distances in Å follow each position.
Fractional coordinates of all 9 atoms:
Fe1 0.3640 0.6856 0.3391  6 Fe 2.44-2.54, 4 Co 2.53-2.54, 2 Ir 2.66
Fe2 0.5515 0.0092 0.3277  3 Fe 2.24-2.43, 2 Co 2.40-2.47, 1 Ir 2.51
Fe3 0.3640 0.3391 0.6856  6 Fe 2.44-2.54, 4 Co 2.53-2.54, 2 Ir 2.66
Fe4 0.5515 0.3277 0.0092  3 Fe 2.24-2.43, 2 Co 2.40-2.47, 1 Ir 2.51
Fe5 0.7515 0.0026 0.6346  6 Fe 2.43-2.59, 4 Co 2.53-2.60, 2 Ir 2.60
Fe6 0.7515 0.6346 0.0026  6 Fe 2.43-2.59, 4 Co 2.53-2.60, 2 Ir 2.60
Co1 0.5540 0.6679 0.6679  10 Fe 2.40-2.54, 2 Co 2.54
Co2 0.1768 0.3559 0.3559  10 Fe 2.47-2.60, 2 Co 2.54
Ir1 0.9351 0.9774 0.9774  10 Fe 2.51-2.66, 2 Ir 2.54

Properties
- Spin magnetization: 6.08 Bohr magnetons per cell
- Symmetry: No. 38
- Formation enthalpy at 0 K: 0.1645 eV per atom
- Mass density: 10.241 g/cm³


A plane-wave DFT calculation with PBE was carried out for crystalline Fe2Co2Ir at its relaxed geometry.

abc: 4.1122 4.1114 4.8160
angles: 115.27 115.27 90.00
Closest atoms and distances in Å follow each position.
Fractional coordinates of all 5 atoms:
Fe1 0.7501 0.2501 0.5002  4 Co 2.24
Fe2 0.2499 0.7499 0.4998  4 Co 2.24
Ir1 0.0000 0.0000 0.0000  8 Fe 2.81, 10 Co 2.81-3.08
Co1 0.6336 0.6336 0.2671  1 Co 2.05, 4 Fe 2.24
Co2 0.3664 0.3664 0.7329  1 Co 2.05, 4 Fe 2.24

Properties
- Spin magnetization: 7.79 Bohr magnetons per cell
- Symmetry: No. 139
- Formation enthalpy at 0 K: 0.5653 eV per atom
- Mass density: 10.789 g/cm³
- Polymorph energy (0 for the lowest one): 26.7 kJ/mol of atoms